{"formula": "Tb2Er12Tm5", "functional": "GGA-PBE", "state": "optimized geometry", "crystal_system": "monoclinic", "formation_energy_mev_per_atom": 131, "polymorph_energy_ev_per_atom": 0.066, "lattice": [[7.781, -4.542, 0.000], [7.781, 4.542, 0.000], [-0.134, 0.000, 8.381]], "species": ["Tb", "Tb", "Er", "Er", "Er", "Er", "Er", "Er", "Er", "Er", "Er", "Er", "Er", "Er", "Tm", "Tm", "Tm", "Tm", "Tm"], "frac_coords": [[0.180, 0.820, 0.000], [0.820, 0.180, 0.000], [0.057, 0.057, 0.332], [0.066, 0.680, 0.342], [0.162, 0.526, 0.756], [0.320, 0.934, 0.658], [0.407, 0.407, 0.116], [0.474, 0.838, 0.244], [0.526, 0.162, 0.756], [0.593, 0.593, 0.884], [0.680, 0.066, 0.342], [0.838, 0.474, 0.244], [0.934, 0.320, 0.658], [0.943, 0.943, 0.668], [0.198, 0.198, 0.009], [0.267, 0.267, 0.424], [0.500, 0.500, 0.500], [0.733, 0.733, 0.576], [0.802, 0.802, 0.991]]}